Entry 1:
Computed, not measured: a relaxed structure of RbAs3Pt3 at the PBE level of DFT.

Calculated values
Polymorph energy (0 for the lowest one)   0.000 eV per atom
DOS(E_F)   0.337 states/eV per atom
Formation enthalpy at 0 K   -0.395 eV per atom

Cell: 7.1768 7.1768 24.9391 Å, 90.00 90.00 120.00°
With the nearest neighbours (Å) after each atom.
Space group R-3 (No. 148, hexagonal axes)
Inequivalent atoms, fractional coordinates:
Rb 0.0000 0.0000 0.1666 (multiplicity 6)  6 As 3.54
As 0.0008 0.3262 0.3965 (multiplicity 18)  4 Pt 2.47-2.50
Pt 0.0006 0.3390 0.6299 (multiplicity 18)  4 As 2.47-2.50

=====

Entry 2:
Computed, not measured: a relaxed structure of Rb2As2PtRh at the PBE level of DFT.

Calculated values
DOS(E_F)   0.754 states/eV per atom
Formation enthalpy at 0 K   -0.439 eV per atom

Cell: 5.7001 21.5327 6.3274 Å, 90.00 90.00 90.00°
With the nearest neighbours (Å) after each atom.
Space group Ibam (No. 72)
Inequivalent atoms, fractional coordinates:
Rb 0.2443 0.1487 0.0000 (multiplicity 8)  4 As 3.41-3.69
As 0.2419 0.4392 0.0000 (multiplicity 8)  2 Rh 2.47, 2 Pt 2.53
Pt 0.0000 0.0000 0.2500 (multiplicity 4)  4 As 2.53
Rh 0.0000 0.5000 0.2500 (multiplicity 4)  4 As 2.47

=====

What is the formation enthalpy at 0 K in the first record?
-0.395 eV per atom

=====

Copy entry 2 word for word.
Computed, not measured: a relaxed structure of Rb2As2PtRh at the PBE level of DFT.

Calculated values
DOS(E_F)   0.754 states/eV per atom
Formation enthalpy at 0 K   -0.439 eV per atom

Cell: 5.7001 21.5327 6.3274 Å, 90.00 90.00 90.00°
With the nearest neighbours (Å) after each atom.
Space group Ibam (No. 72)
Inequivalent atoms, fractional coordinates:
Rb 0.2443 0.1487 0.0000 (multiplicity 8)  4 As 3.41-3.69
As 0.2419 0.4392 0.0000 (multiplicity 8)  2 Rh 2.47, 2 Pt 2.53
Pt 0.0000 0.0000 0.2500 (multiplicity 4)  4 As 2.53
Rh 0.0000 0.5000 0.2500 (multiplicity 4)  4 As 2.47

=====

Which value of DOS(E_F) does entry 2 give?
0.754 states/eV per atom